Record 1
TbGd3C2S2 GGA-PBE optimized geometry; raw total energy = -0.2526 hartree per atom; space group = No. 156
1.0
3.746 0.000 0.000
-1.873 3.244 0.000
0.000 0.000 13.059
Tb Gd C S
1 3 2 2
Cartesian
0.000 0.000 0.000
0.000 0.000 3.788
1.873 1.081 6.533
1.873 1.081 10.328
0.000 2.163 5.159
0.000 2.163 11.699
0.000 0.000 8.426
1.873 1.081 1.885



Record 2
BaNbPO GGA-PBE optimized geometry; raw total energy = -0.2517 hartree per atom; space group = No. 129
1.0
4.335 0.000 0.000
0.000 4.335 0.000
0.000 0.000 10.166
Ba Nb P O
2 2 2 2
Cartesian
1.084 1.084 1.285
3.251 3.251 8.881
1.084 3.251 5.083
3.251 1.084 5.083
1.084 1.084 6.328
3.251 3.251 3.838
1.084 3.251 0.000
3.251 1.084 0.000



Record 3
LuZnFeRe GGA-PBE optimized geometry; raw total energy = -0.2274 hartree per atom; energy of formation = 0.442 eV/atom; space group = No. 216
1.0
6.365 0.000 0.000
0.000 6.365 0.000
0.000 0.000 6.365
Lu Zn Fe Re
4 4 4 4
Cartesian
0.000 0.000 0.000
0.000 3.183 3.183
3.183 0.000 3.183
3.183 3.183 0.000
0.000 0.000 3.183
0.000 3.183 0.000
3.183 0.000 0.000
3.183 3.183 3.183
1.591 1.591 4.774
1.591 4.774 1.591
4.774 1.591 1.591
4.774 4.774 4.774
1.591 1.591 1.591
1.591 4.774 4.774
4.774 1.591 4.774
4.774 4.774 1.591